a) This record from the Alexandria database describes crystalline ZrScCdRu at its relaxed geometry. The functional is PBE.

**Fermi-level density of states**: 0.7934 states/eV/atom
**Density**: 7.51 g/cm³

a = 6.762 Å, b = 6.762 Å, c = 6.762 Å
α = 90.00°, β = 90.00°, γ = 90.00°
Atoms (fractional coordinates):
Zr: 0.000 0.000 0.000
Zr: 0.000 0.500 0.500
Zr: 0.500 0.000 0.500
Zr: 0.500 0.500 0.000
Sc: 0.000 0.000 0.500
Sc: 0.000 0.500 0.000
Sc: 0.500 0.000 0.000
Sc: 0.500 0.500 0.500
Cd: 0.250 0.250 0.750
Cd: 0.250 0.750 0.250
Cd: 0.750 0.250 0.250
Cd: 0.750 0.750 0.750
Ru: 0.250 0.250 0.250
Ru: 0.250 0.750 0.750
Ru: 0.750 0.250 0.750
Ru: 0.750 0.750 0.250

b) This record from the Alexandria database describes crystalline ZrScCdRu at its relaxed geometry. The functional is PBE.

**Fermi-level density of states**: 0.6156 states/eV/atom
**Density**: 7.38 g/cm³

a = 3.256 Å, b = 3.256 Å, c = 7.424 Å
α = 90.00°, β = 90.00°, γ = 90.00°
Atoms (fractional coordinates):
Zr: 0.000 0.000 0.000
Sc: 0.000 0.000 0.569
Cd: 0.500 0.500 0.291
Ru: 0.500 0.500 0.785

Relative calculated energies, zero for the most stable structure, unit meV per atom: a) 130; b) 0.

a) This record from the Alexandria database describes crystalline CdRuSe at its relaxed geometry. The functional is PBE.

**Fermi-level density of states**: 1.3033 states/eV/atom
**Density**: 8.04 g/cm³

a = 6.228 Å, b = 6.228 Å, c = 6.228 Å
α = 90.00°, β = 90.00°, γ = 90.00°
Atoms (fractional coordinates):
Cd: 0.000 0.000 0.000
Cd: 0.000 0.500 0.500
Cd: 0.500 0.000 0.500
Cd: 0.500 0.500 0.000
Ru: 0.250 0.250 0.250
Ru: 0.250 0.750 0.750
Ru: 0.750 0.250 0.750
Ru: 0.750 0.750 0.250
Se: 0.000 0.000 0.500
Se: 0.000 0.500 0.000
Se: 0.500 0.000 0.000
Se: 0.500 0.500 0.500

b) This record from the Alexandria database describes crystalline CdRuSe at its relaxed geometry. The functional is PBE.

**Fermi-level density of states**: 0.4868 states/eV/atom
**Density**: 8.47 g/cm³

a = 3.040 Å, b = 3.040 Å, c = 12.414 Å
α = 90.00°, β = 90.00°, γ = 90.00°
Atoms (fractional coordinates):
Cd: 0.000 0.000 0.000
Cd: 0.500 0.500 0.500
Ru: 0.000 0.000 0.335
Ru: 0.500 0.500 0.835
Se: 0.000 0.000 0.729
Se: 0.500 0.500 0.229

Relative calculated energies, zero for the most stable structure, unit meV per atom: a) 367; b) 0.